# 1
# Si2HgOs, relaxed, DFT PBE
data_Si2HgOs
_space_group_name_H-M_alt 'P 4 m m'
_space_group_IT_number 99
_cell_length_a 3.041
_cell_length_b 3.041
_cell_length_c 7.605
_cell_angle_alpha 90.00
_cell_angle_beta 90.00
_cell_angle_gamma 90.00
loop_
_space_group_symop_operation_xyz
'x,y,z'
'-y,x,z'
'-x,-y,z'
'y,-x,z'
'-x,y,z'
'y,x,z'
'x,-y,z'
'-y,-x,z'
loop_
_atom_site_label
_atom_site_type_symbol
_atom_site_fract_x
_atom_site_fract_y
_atom_site_fract_z
_atom_site_occupancy
Si1 Si 0.000 0.000 0.000 1
Si2 Si 0.500 0.500 0.195 1
Hg1 Hg 0.000 0.000 0.562 1
Os1 Os 0.500 0.500 0.853 1
# * ΔE_f (raw): 29.02 kJ per mole of atoms
# * crystal system: tetragonal

# 2
# Si2HgOs, relaxed, DFT PBE
data_Si2HgOs
_space_group_name_H-M_alt 'P m m m'
_space_group_IT_number 47
_cell_length_a 3.078
_cell_length_b 4.269
_cell_length_c 5.002
_cell_angle_alpha 90.00
_cell_angle_beta 90.00
_cell_angle_gamma 90.00
loop_
_space_group_symop_operation_xyz
'x,y,z'
'-x,-y,-z'
'-x,-y,z'
'x,y,-z'
'x,-y,-z'
'-x,y,z'
'-x,y,-z'
'x,-y,z'
loop_
_atom_site_label
_atom_site_type_symbol
_atom_site_fract_x
_atom_site_fract_y
_atom_site_fract_z
_atom_site_occupancy
Si1 Si 0.000 0.000 0.000 1
Si2 Si 0.500 0.000 0.500 1
Hg1 Hg 0.000 0.500 0.500 1
Os1 Os 0.500 0.500 0.000 1
# * ΔE_f (raw): 77.42 kJ per mole of atoms
# * crystal system: orthorhombic

# 3
# Si2HgOs, relaxed, DFT PBE
data_Si2HgOs
_space_group_name_H-M_alt 'R -3 m'
_space_group_IT_number 166
_space_group_name_Hall '-R 3 2"'
_cell_length_a 3.0745
_cell_length_b 3.0745
_cell_length_c 24.5801
_cell_angle_alpha 90.00
_cell_angle_beta 90.00
_cell_angle_gamma 120.00
loop_
_atom_site_label
_atom_site_type_symbol
_atom_site_fract_x
_atom_site_fract_y
_atom_site_fract_z
_atom_site_occupancy
Si1 Si 0.0000 0.0000 0.2370 1
Hg1 Hg 0.0000 0.0000 0.0000 1
Os1 Os 0.0000 0.0000 0.5000 1
# * ΔE_f (raw): 16.89 kJ per mole of atoms
# * crystal system: trigonal

# 4
# SiHgOs, relaxed, DFT PBE
data_SiHgOs
_space_group_name_H-M_alt 'F m m 2'
_space_group_IT_number 42
_space_group_name_Hall 'F 2 -2'
_cell_length_a 2.986
_cell_length_b 4.787
_cell_length_c 15.553
_cell_angle_alpha 90.00
_cell_angle_beta 90.00
_cell_angle_gamma 90.00
loop_
_atom_site_label
_atom_site_type_symbol
_atom_site_fract_x
_atom_site_fract_y
_atom_site_fract_z
_atom_site_occupancy
Si1 Si 0.000 0.000 0.000 1
Hg1 Hg 0.000 0.000 0.710 1
Os1 Os 0.000 0.000 0.381 1
# * relative energy among the computed polymorphs: 268 meV per atom
# * ΔE_f (raw): 53.45 kJ per mole of atoms
# * crystal system: orthorhombic

# 5
# Si2HgOs, relaxed, DFT PBE
data_Si2HgOs
_space_group_name_H-M_alt 'I m m m'
_space_group_IT_number 71
_space_group_name_Hall '-I 2 2'
_cell_length_a 2.792
_cell_length_b 4.877
_cell_length_c 10.847
_cell_angle_alpha 90.00
_cell_angle_beta 90.00
_cell_angle_gamma 90.00
loop_
_atom_site_label
_atom_site_type_symbol
_atom_site_fract_x
_atom_site_fract_y
_atom_site_fract_z
_atom_site_occupancy
Si1 Si 0.000 0.000 0.190 1
Hg1 Hg 0.000 0.500 0.000 1
Os1 Os 0.000 0.500 0.500 1
# * ΔE_f (raw): 48.64 kJ per mole of atoms
# * crystal system: orthorhombic

# 6
# SiHgOs3, relaxed, DFT PBE
data_SiHgOs3
_space_group_name_H-M_alt 'P m -3 m'
_space_group_IT_number 221
_space_group_name_Hall '-P 4 2 3'
_cell_length_a 4.442
_cell_length_b 4.442
_cell_length_c 4.442
_cell_angle_alpha 90.00
_cell_angle_beta 90.00
_cell_angle_gamma 90.00
loop_
_atom_site_label
_atom_site_type_symbol
_atom_site_fract_x
_atom_site_fract_y
_atom_site_fract_z
_atom_site_occupancy
Si1 Si 0.000 0.000 0.000 1
Hg1 Hg 0.500 0.500 0.500 1
Os1 Os 0.000 0.000 0.500 1
# * relative energy among the computed polymorphs: 0 meV per atom
# * ΔE_f (raw): 120.30 kJ per mole of atoms
# * crystal system: cubic

# 7
# Si2HgOs, relaxed, DFT PBE
data_Si2HgOs
_space_group_name_H-M_alt 'R 3 m'
_space_group_IT_number 160
_space_group_name_Hall 'R 3 -2"'
_cell_length_a 2.8758
_cell_length_b 2.8758
_cell_length_c 29.8250
_cell_angle_alpha 90.00
_cell_angle_beta 90.00
_cell_angle_gamma 120.00
loop_
_atom_site_label
_atom_site_type_symbol
_atom_site_fract_x
_atom_site_fract_y
_atom_site_fract_z
_atom_site_occupancy
Si1 Si 0.0000 0.0000 0.0000 1
Si2 Si 0.0000 0.0000 0.2610 1
Hg1 Hg 0.0000 0.0000 0.7824 1
Os1 Os 0.0000 0.0000 0.5363 1
# * ΔE_f (raw): 38.62 kJ per mole of atoms
# * crystal system: trigonal

# 8
# Si4HgOs, relaxed, DFT PBE
data_Si4HgOs
_space_group_name_H-M_alt 'F -4 3 m'
_space_group_IT_number 216
_space_group_name_Hall 'F -4 2 3'
_cell_length_a 7.217
_cell_length_b 7.217
_cell_length_c 7.217
_cell_angle_alpha 90.00
_cell_angle_beta 90.00
_cell_angle_gamma 90.00
loop_
_atom_site_label
_atom_site_type_symbol
_atom_site_fract_x
_atom_site_fract_y
_atom_site_fract_z
_atom_site_occupancy
Si1 Si 0.123 0.123 0.123 1
Hg1 Hg 0.000 0.000 0.500 1
Os1 Os 0.250 0.250 0.750 1
# * ΔE_f (raw): 77.84 kJ per mole of atoms
# * crystal system: cubic